[1]
# MgZrTc

Crystalline MgZrTc at its relaxed geometry (GGA-PBE, Alexandria via LeMat-Bulk).

## Properties
electronic total energy: -5.940 eV/atom
symmetry: F-43m (216)
crystal system: cubic
polymorph energy (0 for the lowest one): 21.20 kcal/mol of atoms
DFT formation energy: 0.8965 eV per atom
volume: 22.1 A^3/atom
total moment: 0.0 μB/cell

```
MgZrTc
1.0
6.429 0.000 0.000
0.000 6.429 0.000
0.000 0.000 6.429
Mg Zr Tc
4 4 4
Cartesian
0.000 0.000 0.000
0.000 3.214 3.214
3.214 0.000 3.214
3.214 3.214 0.000
1.607 1.607 4.821
1.607 4.821 1.607
4.821 1.607 1.607
4.821 4.821 4.821
0.000 0.000 3.214
0.000 3.214 0.000
3.214 0.000 0.000
3.214 3.214 3.214
```


[2]
# MgZr2Tc

Crystalline MgZr2Tc at its relaxed geometry (GGA-PBE, Alexandria via LeMat-Bulk).

## Properties
electronic total energy: -7.229 eV/atom
symmetry: Pm (6)
crystal system: monoclinic
DFT formation energy: 0.0355 eV per atom
volume: 20.0 A^3/atom
total moment: 0.0 μB/cell

```
MgZr2Tc
1.0
3.084 0.000 0.000
0.000 4.659 0.000
-1.299 0.000 5.561
Mg Zr Tc
1 2 1
Cartesian
0.000 0.000 0.000
0.074 2.330 4.124
1.416 0.000 2.574
2.364 2.330 1.564
```


[3]
# MgZr2Tc

Crystalline MgZr2Tc at its relaxed geometry (GGA-PBE, Alexandria via LeMat-Bulk).

## Properties
electronic total energy: -7.162 eV/atom
symmetry: F-43m (216)
crystal system: cubic
DFT formation energy: 0.1023 eV per atom
volume: 19.1 A^3/atom
total moment: 0.0 μB/cell

```
MgZr2Tc
1.0
6.740 0.000 0.000
0.000 6.740 0.000
0.000 0.000 6.740
Mg Zr Tc
4 8 4
Cartesian
0.000 0.000 0.000
0.000 3.370 3.370
3.370 0.000 3.370
3.370 3.370 0.000
0.000 0.000 3.370
0.000 3.370 0.000
1.685 1.685 1.685
1.685 5.055 5.055
3.370 0.000 0.000
3.370 3.370 3.370
5.055 1.685 5.055
5.055 5.055 1.685
1.685 1.685 5.055
1.685 5.055 1.685
5.055 1.685 1.685
5.055 5.055 5.055
```